Entry 1:
Density functional theory data (PBE) for a relaxed AlReW2 crystal.

a b c (Å): 3.8358 3.8358 8.4077
angles (deg): 90.00 90.00 90.00
Space group I4/mmm (No. 139)
One atom of each set of equivalent atoms:
Al  0.0000  0.0000  0.0000 x2
Re  0.0000  0.0000  0.5000 x2
W  0.0000  0.5000  0.2500 x4

Calculated values
- ΔH_f (0 K): 121 meV/atom
- Spin magnetization: 0.0 μB/f.u.
- Raw total energy: -0.7646 Ry per atom

Entry 2:
Density functional theory data (PBE) for a relaxed AlReW2 crystal.

a b c (Å): 3.1721 4.3831 4.4188
angles (deg): 90.00 90.00 90.00
Space group Pmmm (No. 47)
One atom of each set of equivalent atoms:
Al  0.0000  0.0000  0.0000 x1
Re  0.5000  0.5000  0.0000 x1
W  0.0000  0.5000  0.5000 x1
W  0.5000  0.0000  0.5000 x1

Calculated values
- ΔH_f (0 K): 49 meV/atom
- Spin magnetization: 0.0 μB/f.u.
- Raw total energy: -0.7699 Ry per atom

Entry 3:
Density functional theory data (PBE) for a relaxed AlReW2 crystal.

a b c (Å): 2.8352 2.8352 27.0898
angles (deg): 90.00 90.00 120.00
Space group R-3m (No. 166, hexagonal axes)
One atom of each set of equivalent atoms:
Al  0.0000  0.0000  0.0000 x3
Re  0.0000  0.0000  0.5000 x3
W  0.0000  0.0000  0.2491 x6

Calculated values
- ΔH_f (0 K): 158 meV/atom
- Spin magnetization: 0.0 μB/f.u.
- Raw total energy: -0.7619 Ry per atom